Entry 1:
Computed, not measured: crystalline CdSnTeN2 at its relaxed geometry at the PBE level of DFT.

Values from the calculation:
E_form (uncorrected)	1.109	eV per atom
distance to the lowest polymorph of the same formula	0	meV per atom
calculated total energy	-3.83	eV per atom

```
data_CdSnTeN2
_chemical_formula_sum 'Cd1 Sn1 Te1 N2'
_cell_length_a 4.212
_cell_length_b 4.212
_cell_length_c 6.224
_cell_angle_alpha 90.00
_cell_angle_beta 90.00
_cell_angle_gamma 90.00
_symmetry_space_group_name_H-M 'P 4/m m m'
_symmetry_Int_Tables_number 123
_symmetry_space_group_name_Hall '-P 4 2'
loop_
_atom_site_label
_atom_site_fract_x
_atom_site_fract_y
_atom_site_fract_z
_atom_site_occupancy
Cd1 0.000 0.000 0.000 1
Sn1 0.500 0.500 0.500 1
Te1 0.500 0.500 0.000 1
N1 0.000 0.500 0.500 1
```


Entry 2:
Computed, not measured: crystalline Cd2Ag2Pd3 at its relaxed geometry at the PBE level of DFT.

Values from the calculation:
distance to the lowest polymorph of the same formula	31	meV per atom
calculated total energy	-3.48	eV per atom

```
data_Cd2Ag2Pd3
_chemical_formula_sum 'Cd2 Ag2 Pd3'
_cell_length_a 2.999
_cell_length_b 6.261
_cell_length_c 7.176
_cell_angle_alpha 69.02
_cell_angle_beta 89.77
_cell_angle_gamma 76.18
_symmetry_space_group_name_H-M 'P -1'
_symmetry_Int_Tables_number 2
_symmetry_space_group_name_Hall '-P 1'
loop_
_atom_site_label
_atom_site_fract_x
_atom_site_fract_y
_atom_site_fract_z
_atom_site_occupancy
Cd1 0.209 0.082 0.152 1
Ag1 0.368 0.766 0.565 1
Pd1 0.077 0.343 0.730 1
Pd2 0.500 0.500 0.000 1
```


Entry 3:
Computed, not measured: crystalline Pr12Te3H5 at its relaxed geometry at the PBE level of DFT.

Values from the calculation:
calculated total energy	-4.67	eV per atom

```
data_Pr12Te3H5
_chemical_formula_sum 'Pr96 Te24 H40'
_cell_length_a 16.298
_cell_length_b 16.298
_cell_length_c 16.298
_cell_angle_alpha 90.00
_cell_angle_beta 90.00
_cell_angle_gamma 90.00
_symmetry_space_group_name_H-M 'I a -3 d'
_symmetry_Int_Tables_number 230
_symmetry_space_group_name_Hall '-I 4bd 2c 3'
loop_
_atom_site_label
_atom_site_fract_x
_atom_site_fract_y
_atom_site_fract_z
_atom_site_occupancy
Pr1 0.040 0.056 0.652 1
Te1 0.000 0.250 0.125 1
H1 0.000 0.000 0.000 1
H2 0.000 0.250 0.375 1
```


Entry 4:
Computed, not measured: crystalline MgNi2HIr at its relaxed geometry at the PBE level of DFT.

Values from the calculation:
distance to the lowest polymorph of the same formula	75	meV per atom
calculated total energy	-5.13	eV per atom

```
data_MgNi2HIr
_chemical_formula_sum 'Mg1 Ni2 H1 Ir1'
_cell_length_a 3.678
_cell_length_b 3.678
_cell_length_c 3.982
_cell_angle_alpha 90.00
_cell_angle_beta 90.00
_cell_angle_gamma 90.00
_symmetry_space_group_name_H-M 'P 4/m m m'
_symmetry_Int_Tables_number 123
_symmetry_space_group_name_Hall '-P 4 2'
loop_
_atom_site_label
_atom_site_fract_x
_atom_site_fract_y
_atom_site_fract_z
_atom_site_occupancy
Mg1 0.000 0.000 0.000 1
Ni1 0.000 0.500 0.500 1
H1 0.000 0.000 0.500 1
Ir1 0.500 0.500 0.000 1
```


Entry 5:
Computed, not measured: crystalline ZrTiSi at its relaxed geometry at the PBE level of DFT.

Values from the calculation:
E_form (uncorrected)	-0.555	eV per atom
calculated total energy	-7.84	eV per atom

```
data_ZrTiSi
_chemical_formula_sum 'Zr2 Ti2 Si2'
_cell_length_a 4.6201
_cell_length_b 4.6201
_cell_length_c 5.5797
_cell_angle_alpha 90.00
_cell_angle_beta 90.00
_cell_angle_gamma 120.00
_symmetry_space_group_name_H-M 'P 3 m 1'
_symmetry_Int_Tables_number 156
_symmetry_space_group_name_Hall 'P 3 -2"'
loop_
_atom_site_label
_atom_site_fract_x
_atom_site_fract_y
_atom_site_fract_z
_atom_site_occupancy
Zr1 0.0000 0.0000 0.0000 1
Zr2 0.3333 0.6667 0.2724 1
Ti1 0.3333 0.6667 0.7577 1
Ti2 0.6667 0.3333 0.5282 1
Si1 0.0000 0.0000 0.5117 1
Si2 0.6667 0.3333 0.0116 1
```


Entry 6:
Computed, not measured: crystalline Sr2SbRh at its relaxed geometry at the PBE level of DFT.

Values from the calculation:
E_form (uncorrected)	-0.467	eV per atom
calculated total energy	-4.18	eV per atom

```
data_Sr2SbRh
_chemical_formula_sum 'Sr8 Sb4 Rh4'
_cell_length_a 11.116
_cell_length_b 11.116
_cell_length_c 5.066
_cell_angle_alpha 90.00
_cell_angle_beta 90.00
_cell_angle_gamma 90.00
_symmetry_space_group_name_H-M 'I -4 2 d'
_symmetry_Int_Tables_number 122
_symmetry_space_group_name_Hall 'I -4 2bw'
loop_
_atom_site_label
_atom_site_fract_x
_atom_site_fract_y
_atom_site_fract_z
_atom_site_occupancy
Sr1 0.075 0.750 0.125 1
Sb1 0.000 0.000 0.500 1
Rh1 0.000 0.000 0.000 1
```


Entry 7:
Computed, not measured: crystalline LiNd2Ru at its relaxed geometry at the PBE level of DFT.

Values from the calculation:
distance to the lowest polymorph of the same formula	0	meV per atom
calculated total energy	-5.32	eV per atom

```
data_LiNd2Ru
_chemical_formula_sum 'Li4 Nd8 Ru4'
_cell_length_a 7.173
_cell_length_b 7.173
_cell_length_c 7.173
_cell_angle_alpha 90.00
_cell_angle_beta 90.00
_cell_angle_gamma 90.00
_symmetry_space_group_name_H-M 'F m -3 m'
_symmetry_Int_Tables_number 225
_symmetry_space_group_name_Hall '-F 4 2 3'
loop_
_atom_site_label
_atom_site_fract_x
_atom_site_fract_y
_atom_site_fract_z
_atom_site_occupancy
Li1 0.000 0.000 0.000 1
Nd1 0.250 0.250 0.250 1
Ru1 0.000 0.000 0.500 1
```


Entry 8:
Computed, not measured: crystalline Tm3TlTc at its relaxed geometry at the PBE level of DFT.

Values from the calculation:
distance to the lowest polymorph of the same formula	0	meV per atom
calculated total energy	-5.43	eV per atom

```
data_Tm3TlTc
_chemical_formula_sum 'Tm24 Tl8 Tc8'
_cell_length_a 6.543
_cell_length_b 9.601
_cell_length_c 16.175
_cell_angle_alpha 90.00
_cell_angle_beta 90.00
_cell_angle_gamma 90.00
_symmetry_space_group_name_H-M 'F m m m'
_symmetry_Int_Tables_number 69
_symmetry_space_group_name_Hall '-F 2 2'
loop_
_atom_site_label
_atom_site_fract_x
_atom_site_fract_y
_atom_site_fract_z
_atom_site_occupancy
Tm1 0.000 0.000 0.200 1
Tm2 0.000 0.188 0.386 1
Tl1 0.216 0.000 0.000 1
Tc1 0.250 0.250 0.250 1
```


Entry 9:
Computed, not measured: crystalline Ce2Pa3Se8 at its relaxed geometry at the PBE level of DFT.

Values from the calculation:
E_form (uncorrected)	-1.483	eV per atom
distance to the lowest polymorph of the same formula	0	meV per atom
calculated total energy	-6.73	eV per atom

```
data_Ce2Pa3Se8
_chemical_formula_sum 'Ce4 Pa6 Se16'
_cell_length_a 9.920
_cell_length_b 14.172
_cell_length_c 4.973
_cell_angle_alpha 90.00
_cell_angle_beta 90.00
_cell_angle_gamma 90.00
_symmetry_space_group_name_H-M 'C m m m'
_symmetry_Int_Tables_number 65
_symmetry_space_group_name_Hall '-C 2 2'
loop_
_atom_site_label
_atom_site_fract_x
_atom_site_fract_y
_atom_site_fract_z
_atom_site_occupancy
Ce1 0.000 0.235 0.000 1
Pa1 0.000 0.500 0.000 1
Pa2 0.235 0.000 0.500 1
Se1 0.000 0.123 0.500 1
Se2 0.000 0.384 0.500 1
Se3 0.241 0.380 0.000 1
```


Entry 10:
Computed, not measured: crystalline K2YTc at its relaxed geometry at the PBE level of DFT.

Values from the calculation:
distance to the lowest polymorph of the same formula	563	meV per atom
calculated total energy	-3.59	eV per atom

```
data_K2YTc
_chemical_formula_sum 'K8 Y4 Tc4'
_cell_length_a 7.857
_cell_length_b 7.857
_cell_length_c 7.857
_cell_angle_alpha 90.00
_cell_angle_beta 90.00
_cell_angle_gamma 90.00
_symmetry_space_group_name_H-M 'F -4 3 m'
_symmetry_Int_Tables_number 216
_symmetry_space_group_name_Hall 'F -4 2 3'
loop_
_atom_site_label
_atom_site_fract_x
_atom_site_fract_y
_atom_site_fract_z
_atom_site_occupancy
K1 0.000 0.000 0.000 1
K2 0.250 0.250 0.250 1
Y1 0.000 0.000 0.500 1
Tc1 0.250 0.250 0.750 1
```


Entry 11:
Computed, not measured: crystalline Li2LaGeB at its relaxed geometry at the PBE level of DFT.

Values from the calculation:
calculated total energy	-3.43	eV per atom

```
data_Li2LaGeB
_chemical_formula_sum 'Li2 La1 Ge1 B1'
_cell_length_a 4.604
_cell_length_b 4.604
_cell_length_c 5.829
_cell_angle_alpha 90.00
_cell_angle_beta 90.00
_cell_angle_gamma 90.00
_symmetry_space_group_name_H-M 'P 4/m m m'
_symmetry_Int_Tables_number 123
_symmetry_space_group_name_Hall '-P 4 2'
loop_
_atom_site_label
_atom_site_fract_x
_atom_site_fract_y
_atom_site_fract_z
_atom_site_occupancy
Li1 0.000 0.500 0.000 1
La1 0.000 0.000 0.500 1
Ge1 0.000 0.000 0.000 1
B1 0.500 0.500 0.500 1
```


Entry 12:
Computed, not measured: crystalline CaPtW at its relaxed geometry at the PBE level of DFT.

Values from the calculation:
calculated total energy	-7.14	eV per atom

```
data_CaPtW
_chemical_formula_sum 'Ca2 Pt2 W2'
_cell_length_a 3.094
_cell_length_b 4.690
_cell_length_c 8.543
_cell_angle_alpha 105.86
_cell_angle_beta 90.08
_cell_angle_gamma 90.00
_symmetry_space_group_name_H-M 'P 1'
_symmetry_Int_Tables_number 1
_symmetry_space_group_name_Hall 'P 1'
loop_
_atom_site_label
_atom_site_fract_x
_atom_site_fract_y
_atom_site_fract_z
_atom_site_occupancy
Ca1 0.000 0.000 0.000 1
Ca2 0.003 0.361 0.720 1
Pt1 0.501 0.550 0.102 1
Pt2 0.503 0.810 0.619 1
W1 0.002 0.826 0.360 1
W2 0.502 0.260 0.360 1
```


Entry 13:
Computed, not measured: crystalline AcLaZnIr at its relaxed geometry at the PBE level of DFT.

Values from the calculation:
distance to the lowest polymorph of the same formula	57	meV per atom
calculated total energy	-5.21	eV per atom

```
data_AcLaZnIr
_chemical_formula_sum 'Ac4 La4 Zn4 Ir4'
_cell_length_a 7.458
_cell_length_b 7.458
_cell_length_c 7.458
_cell_angle_alpha 90.00
_cell_angle_beta 90.00
_cell_angle_gamma 90.00
_symmetry_space_group_name_H-M 'F -4 3 m'
_symmetry_Int_Tables_number 216
_symmetry_space_group_name_Hall 'F -4 2 3'
loop_
_atom_site_label
_atom_site_fract_x
_atom_site_fract_y
_atom_site_fract_z
_atom_site_occupancy
Ac1 0.000 0.000 0.000 1
La1 0.000 0.000 0.500 1
Zn1 0.250 0.250 0.250 1
Ir1 0.250 0.250 0.750 1
```


Entry 14:
Computed, not measured: crystalline LiH2Pd at its relaxed geometry at the PBE level of DFT.

Values from the calculation:
distance to the lowest polymorph of the same formula	81	meV per atom
calculated total energy	-3.75	eV per atom

```
data_LiH2Pd
_chemical_formula_sum 'Li1 H2 Pd1'
_cell_length_a 2.779
_cell_length_b 3.199
_cell_length_c 4.630
_cell_angle_alpha 80.77
_cell_angle_beta 73.68
_cell_angle_gamma 65.53
_symmetry_space_group_name_H-M 'P -1'
_symmetry_Int_Tables_number 2
_symmetry_space_group_name_Hall '-P 1'
loop_
_atom_site_label
_atom_site_fract_x
_atom_site_fract_y
_atom_site_fract_z
_atom_site_occupancy
Li1 0.000 0.000 0.000 1
H1 0.162 0.404 0.256 1
Pd1 0.500 0.500 0.500 1
```


Entry 15:
Computed, not measured: crystalline Tl5Zn4 at its relaxed geometry at the PBE level of DFT.

Values from the calculation:
distance to the lowest polymorph of the same formula	0	meV per atom
calculated total energy	-1.71	eV per atom

```
data_Tl5Zn4
_chemical_formula_sum 'Tl10 Zn8'
_cell_length_a 9.721
_cell_length_b 9.721
_cell_length_c 4.735
_cell_angle_alpha 90.00
_cell_angle_beta 90.00
_cell_angle_gamma 90.00
_symmetry_space_group_name_H-M 'I 4/m m m'
_symmetry_Int_Tables_number 139
_symmetry_space_group_name_Hall '-I 4 2'
loop_
_atom_site_label
_atom_site_fract_x
_atom_site_fract_y
_atom_site_fract_z
_atom_site_occupancy
Tl1 0.000 0.000 0.000 1
Tl2 0.174 0.174 0.500 1
Zn1 0.000 0.365 0.000 1
```


Entry 16:
Computed, not measured: crystalline Tl3In2 at its relaxed geometry at the PBE level of DFT.

Values from the calculation:
distance to the lowest polymorph of the same formula	4	meV per atom
calculated total energy	-2.50	eV per atom

```
data_Tl3In2
_chemical_formula_sum 'Tl12 In8'
_cell_length_a 18.494
_cell_length_b 5.571
_cell_length_c 5.727
_cell_angle_alpha 90.00
_cell_angle_beta 90.00
_cell_angle_gamma 90.00
_symmetry_space_group_name_H-M 'C m c m'
_symmetry_Int_Tables_number 63
_symmetry_space_group_name_Hall '-C 2c 2'
loop_
_atom_site_label
_atom_site_fract_x
_atom_site_fract_y
_atom_site_fract_z
_atom_site_occupancy
Tl1 0.000 0.221 0.250 1
Tl2 0.197 0.221 0.250 1
In1 0.098 0.281 0.750 1
```


Entry 17:
Computed, not measured: crystalline CaNb2Tc at its relaxed geometry at the PBE level of DFT.

Values from the calculation:
distance to the lowest polymorph of the same formula	631	meV per atom
calculated total energy	-7.01	eV per atom

```
data_CaNb2Tc
_chemical_formula_sum 'Ca4 Nb8 Tc4'
_cell_length_a 4.726
_cell_length_b 4.726
_cell_length_c 18.171
_cell_angle_alpha 90.00
_cell_angle_beta 90.00
_cell_angle_gamma 90.00
_symmetry_space_group_name_H-M 'I -4 2 d'
_symmetry_Int_Tables_number 122
_symmetry_space_group_name_Hall 'I -4 2bw'
loop_
_atom_site_label
_atom_site_fract_x
_atom_site_fract_y
_atom_site_fract_z
_atom_site_occupancy
Ca1 0.000 0.000 0.000 1
Nb1 0.086 0.250 0.625 1
Tc1 0.000 0.000 0.500 1
```


Entry 18:
Computed, not measured: crystalline Nd3Al4Sn2 at its relaxed geometry at the PBE level of DFT.

Values from the calculation:
calculated total energy	-4.68	eV per atom

```
data_Nd3Al4Sn2
_chemical_formula_sum 'Nd6 Al8 Sn4'
_cell_length_a 11.580
_cell_length_b 4.500
_cell_length_c 8.885
_cell_angle_alpha 90.00
_cell_angle_beta 104.22
_cell_angle_gamma 90.00
_symmetry_space_group_name_H-M 'C 1 2/m 1'
_symmetry_Int_Tables_number 12
_symmetry_space_group_name_Hall '-C 2y'
loop_
_atom_site_label
_atom_site_fract_x
_atom_site_fract_y
_atom_site_fract_z
_atom_site_occupancy
Nd1 0.000 0.000 0.000 1
Nd2 0.165 0.500 0.670 1
Al1 0.045 0.000 0.386 1
Al2 0.233 0.500 0.055 1
Sn1 0.117 0.500 0.279 1
```


Entry 19:
Computed, not measured: crystalline Nd4Cu2C at its relaxed geometry at the PBE level of DFT.

Values from the calculation:
calculated total energy	-5.02	eV per atom

```
data_Nd4Cu2C
_chemical_formula_sum 'Nd8 Cu4 C2'
_cell_length_a 4.933
_cell_length_b 4.933
_cell_length_c 15.279
_cell_angle_alpha 90.00
_cell_angle_beta 90.00
_cell_angle_gamma 90.00
_symmetry_space_group_name_H-M 'I 4/m m m'
_symmetry_Int_Tables_number 139
_symmetry_space_group_name_Hall '-I 4 2'
loop_
_atom_site_label
_atom_site_fract_x
_atom_site_fract_y
_atom_site_fract_z
_atom_site_occupancy
Nd1 0.000 0.000 0.193 1
Nd2 0.000 0.500 0.000 1
Cu1 0.000 0.000 0.373 1
C1 0.000 0.000 0.500 1
```


Entry 20:
Computed, not measured: crystalline Ac2CuBPt6 at its relaxed geometry at the PBE level of DFT.

Values from the calculation:
calculated total energy	-6.32	eV per atom

```
data_Ac2CuBPt6
_chemical_formula_sum 'Ac6 Cu3 B3 Pt18'
_cell_length_a 5.8006
_cell_length_b 5.8006
_cell_length_c 19.8759
_cell_angle_alpha 90.00
_cell_angle_beta 90.00
_cell_angle_gamma 120.00
_symmetry_space_group_name_H-M 'R -3 m'
_symmetry_Int_Tables_number 166
_symmetry_space_group_name_Hall '-R 3 2"'
loop_
_atom_site_label
_atom_site_fract_x
_atom_site_fract_y
_atom_site_fract_z
_atom_site_occupancy
Ac1 0.0000 0.0000 0.2143 1
Cu1 0.0000 0.0000 0.5000 1
B1 0.0000 0.0000 0.0000 1
Pt1 0.0136 0.5068 0.2712 1
```